(1)
Computed, not measured: a relaxed MnGe2Cl8 crystal at the PBE level of DFT. Values from VASP.

Quantum ESPRESSO input file:
```
&SYSTEM
  ibrav = 0, nat = 11, ntyp = 3
/
ATOMIC_SPECIES
Mn 54.94 Mn.upf
Ge 72.64 Ge.upf
Cl 35.45 Cl.upf
CELL_PARAMETERS angstrom
7.9336 -0.5607 -0.4255
-0.1350 6.8763 0.8247
-0.1350 2.6458 6.4003
ATOMIC_POSITIONS angstrom
Mn 0.0000 0.0000 0.0000
Ge 4.5998 7.8588 5.9629
Ge 3.0638 1.1026 0.8366
Cl 1.0000 4.5866 5.8683
Cl 6.6635 2.0747 3.9624
Cl 1.3891 8.3180 6.3114
Cl 6.2745 0.6433 0.4881
Cl 1.0000 6.8866 2.8371
Cl 6.6635 4.3747 0.9312
Cl 4.3872 6.0727 4.6077
Cl 3.2763 2.8887 2.1918
```

Calculated values
- E (eV per cell) = -41.72
- symmetry = C2/m
- formation energy without anion corrections (eV/atom) = -0.777

(2)
Computed, not measured: a relaxed GeAsO3 crystal at the PBE level of DFT. Values from VASP.

Quantum ESPRESSO input file:
```
&SYSTEM
  ibrav = 0, nat = 5, ntyp = 3
/
ATOMIC_SPECIES
As 74.92 As.upf
Ge 72.64 Ge.upf
O 16.00 O.upf
CELL_PARAMETERS angstrom
-0.5277 -3.3195 1.6578
-1.4275 -1.3640 -3.1856
3.4249 -1.0799 -1.0723
ATOMIC_POSITIONS angstrom
As 0.7349 -2.8817 -1.3001
Ge 0.0000 0.0000 0.0000
O -0.7137 -0.6820 -1.5928
O 1.7124 -0.5400 -0.5362
O -0.2638 -1.6598 0.8289
```

Calculated values
- E (eV per cell) = -27.39
- symmetry = Pm-3m
- formation energy without anion corrections (eV/atom) = -0.650

(3)
Computed, not measured: a relaxed Tl2In2S3 crystal at the PBE level of DFT. Values from VASP.

Quantum ESPRESSO input file:
```
&SYSTEM
  ibrav = 0, nat = 7, ntyp = 3
/
ATOMIC_SPECIES
Tl 204.38 Tl.upf
In 114.82 In.upf
S 32.06 S.upf
CELL_PARAMETERS angstrom
-2.9530 3.1841 0.9494
-3.0585 -1.1097 -5.8183
-5.9675 -5.7126 0.4276
ATOMIC_POSITIONS angstrom
Tl -3.7753 -3.1551 -1.2226
Tl -8.2037 -0.4831 -3.2187
In -8.1720 -4.3820 -0.4834
In -3.8070 0.7438 -3.9579
S 0.0000 0.0000 0.0000
S -4.1101 -0.2494 -1.6060
S -7.8689 -3.3888 -2.8353
```

Calculated values
- E above lowest polymorph (meV/atom) = 32
- E (eV per cell) = -24.73
- symmetry = P-1
- formation energy without anion corrections (eV/atom) = -0.305

(4)
Computed, not measured: a relaxed LaTaCrSb2 crystal at the PBE level of DFT. Values from VASP.

Quantum ESPRESSO input file:
```
&SYSTEM
  ibrav = 0, nat = 5, ntyp = 4
/
ATOMIC_SPECIES
Sb 121.76 Sb.upf
La 138.91 La.upf
Cr 52.00 Cr.upf
Ta 180.95 Ta.upf
CELL_PARAMETERS angstrom
5.9202 0.0000 0.0000
0.0000 5.1540 0.0000
0.0000 0.0000 5.9202
ATOMIC_POSITIONS angstrom
Sb 0.0000 0.0000 2.9601
Sb 2.9601 0.0000 0.0000
La 0.0000 0.0000 0.0000
Cr 2.9601 2.5770 2.9601
Ta 0.0000 2.5770 0.0000
```

Calculated values
- E (eV per cell) = -25.79
- symmetry = P4/mmm
- formation energy without anion corrections (eV/atom) = 1.771

(5)
Computed, not measured: a relaxed TcRhPb2 crystal at the PBE level of DFT. Values from VASP.

Quantum ESPRESSO input file:
```
&SYSTEM
  ibrav = 0, nat = 4, ntyp = 3
/
ATOMIC_SPECIES
Pb 207.20 Pb.upf
Rh 102.91 Rh.upf
Tc 98.00 Tc.upf
CELL_PARAMETERS angstrom
4.7077 0.0054 -0.0070
-0.0047 4.7077 -0.0070
0.0103 0.0103 3.4263
ATOMIC_POSITIONS angstrom
Pb 0.0000 0.0000 0.0000
Pb 2.3515 2.3566 -0.0070
Rh 2.3590 0.0079 1.7097
Tc 0.0028 2.3590 1.7097
```

Calculated values
- E above lowest polymorph (meV/atom) = 101
- calculated formation energy (eV/f.u.) = 1.5
- E (eV per cell) = -23.68
- symmetry = C2/m

(6)
Computed, not measured: a relaxed EuTmThMg crystal at the PBE level of DFT. Values from VASP.

Quantum ESPRESSO input file:
```
&SYSTEM
  ibrav = 0, nat = 4, ntyp = 4
/
ATOMIC_SPECIES
Eu 151.96 Eu.upf
Mg 24.30 Mg.upf
Tm 168.93 Tm.upf
Th 232.04 Th.upf
CELL_PARAMETERS angstrom
5.6014 0.0000 0.0000
2.8007 4.8509 0.0000
2.8007 1.6170 4.5735
ATOMIC_POSITIONS angstrom
Eu 8.4021 4.8509 3.4301
Mg 5.6014 3.2340 2.2868
Tm 0.0000 0.0000 0.0000
Th 2.8007 1.6170 1.1434
```

Calculated values
- calculated formation energy (eV/f.u.) = 0.6
- E (eV per cell) = -23.15
- symmetry = F-43m

(7)
Computed, not measured: a relaxed NaHoSnIr crystal at the PBE level of DFT. Values from VASP.

Quantum ESPRESSO input file:
```
&SYSTEM
  ibrav = 0, nat = 4, ntyp = 4
/
ATOMIC_SPECIES
Na 22.99 Na.upf
Ir 192.22 Ir.upf
Ho 164.93 Ho.upf
Sn 118.71 Sn.upf
CELL_PARAMETERS angstrom
4.8439 0.0000 0.0000
2.4219 4.1949 0.0000
2.4219 1.3983 3.9550
ATOMIC_POSITIONS angstrom
Na 0.0000 0.0000 0.0000
Ir 4.8439 2.7966 1.9775
Ho 2.4219 1.3983 0.9888
Sn 7.2658 4.1949 2.9663
```

Calculated values
- calculated formation energy (eV/f.u.) = -1.7
- E (eV per cell) = -20.43
- symmetry = F-43m

(8)
Computed, not measured: a relaxed HfZr2PaP4 crystal at the PBE level of DFT. Values from VASP.

Quantum ESPRESSO input file:
```
&SYSTEM
  ibrav = 0, nat = 8, ntyp = 4
/
ATOMIC_SPECIES
Hf 178.49 Hf.upf
Zr 91.22 Zr.upf
Pa 231.04 Pa.upf
P 30.97 P.upf
CELL_PARAMETERS angstrom
-0.9317 0.4015 3.6859
3.1760 -5.5487 1.4072
6.2500 1.3334 1.4346
ATOMIC_POSITIONS angstrom
Hf 4.7130 -2.1076 1.4209
Zr 6.2500 1.3334 1.4346
Zr 2.6591 0.8674 2.5602
Pa 1.1222 -2.5736 2.5465
P 7.0259 -3.2151 2.1262
P 1.4684 -0.5988 4.4015
P 3.5219 -3.6182 3.2669
P 4.9725 -0.1957 3.2607
```

Calculated values
- calculated formation energy (eV/f.u.) = -10.6
- E (eV per cell) = -68.76
- symmetry = P2/m

E of number 1 (MnGe2Cl8)?
-41.72 eV per cell

The highest E belongs to which entry?
NaHoSnIr

Look up the E of the first one.
-41.72 eV per cell

Among the records above, which one has the highest E?
NaHoSnIr